# 1
RbAc2TlSe4 | PBE-GGA | relaxed

Properties
- ΔE_f (raw) (eV/atom) = -1.476
- crystal system = orthorhombic
- mass density (g/cm3) = 5.8

Lattice parameters (Å, degrees): 7.7392 7.7392 17.8290 90.00 90.00 145.55
Fractional coordinates of all 16 atoms:
Rb  0.0954  0.9046  0.7500
Rb  0.9046  0.0954  0.2500
Ac  0.3675  0.6325  0.5632
Ac  0.3675  0.6325  0.9368
Ac  0.6325  0.3675  0.0632
Ac  0.6325  0.3675  0.4368
Tl  0.2073  0.7927  0.2500
Tl  0.7927  0.2073  0.7500
Se  0.0000  0.0000  0.0000
Se  0.0000  0.0000  0.5000
Se  0.2680  0.7320  0.0868
Se  0.2680  0.7320  0.4132
Se  0.4233  0.5767  0.7500
Se  0.5767  0.4233  0.2500
Se  0.7320  0.2680  0.5868
Se  0.7320  0.2680  0.9132

***

# 2
Cd5HPd6 | PBE-GGA | relaxed

Properties
- VASP energy (eV per atom) = -3.524
- crystal system = triclinic
- mass density (g/cm3) = 10.2

Lattice parameters (Å, degrees): 5.1931 6.3794 6.6618 109.12 105.46 96.22
Fractional coordinates of all 12 atoms:
Cd  0.0000  0.0000  0.0000
Cd  0.0763  0.7867  0.3712
Cd  0.4511  0.1056  0.8143
Cd  0.5387  0.8962  0.1875
Cd  0.6299  0.6792  0.5566
H  0.0268  0.4512  0.8567
Pd  0.1894  0.6310  0.7358
Pd  0.2782  0.4470  0.1049
Pd  0.3382  0.2432  0.4462
Pd  0.7300  0.5428  0.9247
Pd  0.8100  0.3377  0.2762
Pd  0.8933  0.1560  0.6305

***

# 3
Ag2Ge2Pd | PBE-GGA | relaxed

Properties
- energy above the lowest structure with this stoichiometry (meV per atom) = 215
- crystal system = tetragonal
- mass density (g/cm3) = 8.5

Lattice parameters (Å, degrees): 7.3934 7.3934 3.3287 90.00 90.00 90.00
Fractional coordinates of all 10 atoms:
Ag  0.1342  0.3658  0.0000
Ag  0.3658  0.8658  0.0000
Ag  0.6342  0.1342  0.0000
Ag  0.8658  0.6342  0.0000
Ge  0.1703  0.6703  0.5000
Ge  0.3297  0.1703  0.5000
Ge  0.6703  0.8297  0.5000
Ge  0.8297  0.3297  0.5000
Pd  0.0000  0.0000  0.0000
Pd  0.5000  0.5000  0.0000

***

# 4
AcPt2Rh | PBE-GGA | relaxed

Properties
- energy above the lowest structure with this stoichiometry (meV per atom) = 242
- crystal system = tetragonal
- mass density (g/cm3) = 15.2

Lattice parameters (Å, degrees): 4.2451 4.2451 4.3748 90.00 90.00 90.00
Fractional coordinates of all 4 atoms:
Ac  0.0000  0.0000  0.0000
Pt  0.0000  0.5000  0.5000
Pt  0.5000  0.0000  0.5000
Rh  0.5000  0.5000  0.0000

***

# 5
La4GeBr2N | PBE-GGA | relaxed

Properties
- ΔE_f (raw) (eV/atom) = -1.297
- crystal system = monoclinic
- mass density (g/cm3) = 6.0

Lattice parameters (Å, degrees): 7.1306 4.0818 7.9713 90.00 107.76 90.00
Fractional coordinates of all 8 atoms:
La  0.2041  0.0000  0.1894
La  0.2246  0.5000  0.8032
La  0.7754  0.5000  0.1968
La  0.7959  0.0000  0.8106
Ge  0.5000  0.0000  0.0000
Br  0.0000  0.0000  0.5000
Br  0.5000  0.5000  0.5000
N  0.0000  0.5000  0.0000

***

# 6
LiB2H | PBE-GGA | relaxed

Properties
- energy above the lowest structure with this stoichiometry (meV per atom) = 519
- crystal system = tetragonal
- mass density (g/cm3) = 1.6

Lattice parameters (Å, degrees): 6.5143 6.5143 6.5143 151.49 151.49 40.75
Fractional coordinates of all 8 atoms:
Li  0.3750  0.6250  0.7500
Li  0.6250  0.3750  0.2500
B  0.0000  0.0000  0.0000
B  0.0000  0.0000  0.5000
B  0.0000  0.5000  0.0000
B  0.5000  0.0000  0.5000
H  0.1250  0.8750  0.2500
H  0.8750  0.1250  0.7500

***

# 7
CaIn3Cu8 | PBE-GGA | relaxed

Properties
- energy above the lowest structure with this stoichiometry (meV per atom) = 0
- crystal system = trigonal
- mass density (g/cm3) = 7.9

Lattice parameters (Å, degrees): 8.9115 8.9115 8.9115 33.17 33.17 33.17
Fractional coordinates of all 12 atoms:
Ca  0.0000  0.0000  0.0000
In  0.1249  0.1249  0.1249
In  0.5008  0.5008  0.5008
In  0.6236  0.6236  0.6236
Cu  0.0624  0.0624  0.5590
Cu  0.0624  0.5590  0.0624
Cu  0.0656  0.5633  0.5633
Cu  0.3121  0.3121  0.3121
Cu  0.5590  0.0624  0.0624
Cu  0.5633  0.0656  0.5633
Cu  0.5633  0.5633  0.0656
Cu  0.8126  0.8126  0.8126

***

# 8
LaSm2TmTl2 | PBE-GGA | relaxed

Properties
- VASP energy (eV per atom) = -4.195
- crystal system = orthorhombic
- mass density (g/cm3) = 9.2

Lattice parameters (Å, degrees): 5.2163 10.2003 6.9281 90.00 90.00 90.00
Fractional coordinates of all 12 atoms:
La  0.0000  0.0445  0.0000
La  0.0000  0.9555  0.5000
Sm  0.0000  0.3192  0.3777
Sm  0.0000  0.6808  0.8777
Sm  0.5000  0.4528  0.0939
Sm  0.5000  0.5472  0.5939
Tm  0.5000  0.1937  0.7186
Tm  0.5000  0.8063  0.2186
Tl  0.0000  0.3608  0.8390
Tl  0.0000  0.6392  0.3390
Tl  0.5000  0.1324  0.2678
Tl  0.5000  0.8676  0.7678

***

# 9
CaSb2Mo | PBE-GGA | relaxed

Properties
- energy above the lowest structure with this stoichiometry (meV per atom) = 257
- ΔE_f (raw) (eV/atom) = 0.015
- crystal system = tetragonal
- mass density (g/cm3) = 6.4

Lattice parameters (Å, degrees): 3.6739 3.6739 7.2574 90.00 90.00 90.00
Fractional coordinates of all 4 atoms:
Ca  0.0000  0.0000  0.0000
Sb  0.0000  0.0000  0.4396
Sb  0.5000  0.5000  0.7208
Mo  0.5000  0.5000  0.3250

***

# 10
YTi2NiB | PBE-GGA | relaxed

Properties
- VASP energy (eV per atom) = -6.108
- crystal system = tetragonal
- mass density (g/cm3) = 4.2

Lattice parameters (Å, degrees): 4.4195 4.4195 5.1891 90.00 90.00 90.00
Fractional coordinates of all 5 atoms:
Y  0.0000  0.0000  0.0000
Ti  0.0000  0.5000  0.5000
Ti  0.5000  0.0000  0.5000
Ni  0.0000  0.0000  0.5000
B  0.5000  0.5000  0.0000

***

# 11
Zn2In2Sb | PBE-GGA | relaxed

Properties
- energy above the lowest structure with this stoichiometry (meV per atom) = 0
- ΔE_f (raw) (eV/atom) = 0.084
- crystal system = tetragonal
- mass density (g/cm3) = 6.7

Lattice parameters (Å, degrees): 7.2157 7.2157 4.6028 90.00 90.00 90.00
Fractional coordinates of all 10 atoms:
Zn  0.1244  0.3756  0.0000
Zn  0.3756  0.8756  0.0000
Zn  0.6244  0.1244  0.0000
Zn  0.8756  0.6244  0.0000
In  0.1769  0.6769  0.5000
In  0.3231  0.1769  0.5000
In  0.6769  0.8231  0.5000
In  0.8231  0.3231  0.5000
Sb  0.0000  0.0000  0.0000
Sb  0.5000  0.5000  0.0000

***

# 12
Sc3Pa5P8 | PBE-GGA | relaxed

Properties
- VASP energy (eV per atom) = -8.227
- crystal system = trigonal
- mass density (g/cm3) = 7.6

Lattice parameters (Å, degrees): 7.7798 7.7798 7.7798 60.15 60.15 60.15
Fractional coordinates of all 16 atoms:
Sc  0.0000  0.5000  0.5000
Sc  0.5000  0.0000  0.5000
Sc  0.5000  0.5000  0.0000
Pa  0.0000  0.0000  0.0000
Pa  0.0000  0.0000  0.5000
Pa  0.0000  0.5000  0.0000
Pa  0.5000  0.0000  0.0000
Pa  0.5000  0.5000  0.5000
P  0.2501  0.2501  0.7391
P  0.2501  0.7391  0.2501
P  0.2539  0.2539  0.2539
P  0.2609  0.7499  0.7499
P  0.7391  0.2501  0.2501
P  0.7461  0.7461  0.7461
P  0.7499  0.2609  0.7499
P  0.7499  0.7499  0.2609

***

Repeat the twelfth record exactly.
Sc3Pa5P8 | PBE-GGA | relaxed

Properties
- VASP energy (eV per atom) = -8.227
- crystal system = trigonal
- mass density (g/cm3) = 7.6

Lattice parameters (Å, degrees): 7.7798 7.7798 7.7798 60.15 60.15 60.15
Fractional coordinates of all 16 atoms:
Sc  0.0000  0.5000  0.5000
Sc  0.5000  0.0000  0.5000
Sc  0.5000  0.5000  0.0000
Pa  0.0000  0.0000  0.0000
Pa  0.0000  0.0000  0.5000
Pa  0.0000  0.5000  0.0000
Pa  0.5000  0.0000  0.0000
Pa  0.5000  0.5000  0.5000
P  0.2501  0.2501  0.7391
P  0.2501  0.7391  0.2501
P  0.2539  0.2539  0.2539
P  0.2609  0.7499  0.7499
P  0.7391  0.2501  0.2501
P  0.7461  0.7461  0.7461
P  0.7499  0.2609  0.7499
P  0.7499  0.7499  0.2609

***

- Which of these has the highest mass density?
  AcPt2Rh

***

- Which value of mass density does entry 1 give?
  5.8 g/cm3

***

- Which of these has the highest mass density?
  AcPt2Rh